A relaxed MnCd2Br crystal, computed with PBE.

abc: 5.3947 5.3947 3.4287
angles: 90.00 90.00 115.25
Positions (direct):
Mn 0.0000 0.0000 0.0000
Cd 0.0000 0.5000 0.5000
Cd 0.5000 0.0000 0.5000
Br 0.5000 0.5000 0.0000

Results
Total magnetic moment (μB/cell): 4.1
Symmetry: Cmmm
Distance to the lowest polymorph of the same formula (meV per atom): 168.5
Raw formation energy (meV/atom): 181.4
Total energy (eV per atom): -2.99